Below is an optimized crystal structure of AcCeYSc, with properties calculated at the PBE level.

a b c (Å): 5.739 5.739 5.739
angles (deg): 60.00 60.00 60.00
Last column: magnetic moment on the atom in μB.
Positions (direct):
Y  0.500  0.500  0.500  0.26
Sc  0.750  0.750  0.750  0.41
Ac  0.250  0.250  0.250  0.18
Ce  0.000  0.000  0.000  1.11

Values from the calculation:
Uncorrected energy ... -5.454 eV/atom
E_form ... 0.255 eV per atom

***

Below is an optimized crystal structure of La2NdHg6, with properties calculated at the PBE level.

a b c (Å): 3.529 8.830 8.830
angles (deg): 120.00 90.00 90.00
Last column: magnetic moment on the atom in μB.
Positions (direct):
La  0.000  0.333  0.667  0.11
La  0.000  0.667  0.333  0.11
Nd  0.000  0.000  0.000  0.09
Hg  0.500  0.332  0.332  0.01
Hg  0.500  0.668  0.668  0.01
Hg  0.500  0.000  0.668  0.01
Hg  0.500  0.668  0.000  0.01
Hg  0.500  0.332  0.000  0.01
Hg  0.500  0.000  0.332  0.01

Values from the calculation:
Uncorrected energy ... -2.294 eV/atom
E_form ... -0.468 eV per atom